1.
The following is a DFT calculation (meta-GGA SCAN) of a crystal of Cd2HgSb2 relaxed with PBEsol.

Cell lengths 5.153, 5.153, 6.506 Å; angles 113.33, 113.33, 90.00 degrees
Atoms (fractional coordinates):
Sb: 0.371 0.371 0.743
Sb: 0.629 0.629 0.257
Hg: 0.000 0.000 0.000
Cd: 0.250 0.750 0.500
Cd: 0.750 0.250 0.500

The value obtained for the total energy is -203.38 eV per cell. The calculation puts the density of states at the Fermi level at 0.1600 states/eV/atom. The formation energy (no corrections) is 0.03 eV per atom. The value obtained for the magnetic moment is 0.0 μB per formula unit. Its volume is 28.62 Å³/atom. As for the space group: No. 139.


2.
The following is a DFT calculation (meta-GGA SCAN) of a crystal of KMnSi2 relaxed with PBEsol.

Cell lengths 2.707, 5.530, 6.009 Å; angles 117.40, 103.02, 90.00 degrees
Atoms (fractional coordinates):
K: 0.495 0.495 0.990
Mn: 0.305 0.805 0.609
Si: 0.998 0.998 0.997
Si: 0.702 0.202 0.404

The value obtained for the total energy is -44.70 eV per cell. The calculation puts the density of states at the Fermi level at 0.3996 states/eV/atom. The formation energy (no corrections) is 0.48 eV per atom. The value obtained for the magnetic moment is 4.0 μB per formula unit. Its volume is 19.31 Å³/atom. As for the space group: No. 44.


3.
The following is a DFT calculation (meta-GGA SCAN) of a crystal of CsCoSe2Br relaxed with PBEsol.

Cell lengths 4.726, 4.726, 5.610 Å; angles 90.00, 90.00, 90.00 degrees
Atoms (fractional coordinates):
Cs: 0.500 0.500 0.500
Co: 0.000 0.000 0.000
Se: 0.000 0.500 0.000
Se: 0.500 0.000 0.000
Br: 0.000 0.000 0.500

The value obtained for the total energy is -117.24 eV per cell. The calculation puts the density of states at the Fermi level at 0.5582 states/eV/atom. The formation energy (no corrections) is -0.50 eV per atom. The value obtained for the magnetic moment is 3.2 μB per formula unit. Its volume is 25.06 Å³/atom. As for the space group: No. 123.


4.
The following is a DFT calculation (meta-GGA SCAN) of a crystal of Ca2TlRh relaxed with PBEsol.

Cell lengths 4.197, 4.360, 5.904 Å; angles 90.00, 110.82, 90.00 degrees
Atoms (fractional coordinates):
Tl: 0.557 0.500 0.115
Rh: 0.701 0.000 0.402
Ca: 0.976 0.000 0.952
Ca: 0.267 0.500 0.534

The value obtained for the total energy is -127.15 eV per cell. The calculation puts the density of states at the Fermi level at 0.5484 states/eV/atom. The value obtained for the magnetic moment is 0.0 μB per formula unit. As for the formation energy: -424 meV per atom. Its volume is 25.25 Å³/atom. As for the space group: No. 38.


5.
The following is a DFT calculation (meta-GGA SCAN) of a crystal of MgZn2Pt2 relaxed with PBEsol.

Cell lengths 2.890, 7.303, 7.303 Å; angles 90.00, 90.00, 90.00 degrees
Atoms (fractional coordinates):
Zn: 0.500 0.148 0.648
Zn: 0.500 0.648 0.852
Zn: 0.500 0.852 0.352
Zn: 0.500 0.352 0.148
Mg: 0.000 0.000 0.000
Mg: 0.000 0.500 0.500
Pt: 0.000 0.351 0.851
Pt: 0.000 0.851 0.649
Pt: 0.000 0.649 0.149
Pt: 0.000 0.149 0.351

The value obtained for the total energy is -351.14 eV per cell. The calculation puts the density of states at the Fermi level at 0.2112 states/eV/atom. The value obtained for the magnetic moment is 0.0 μB per formula unit. As for the formation energy: -636 meV per atom. Its volume is 15.42 Å³/atom. As for the space group: No. 127.


6.
The following is a DFT calculation (meta-GGA SCAN) of a crystal of Mn2FeCo relaxed with PBEsol.

Cell lengths 2.761, 2.761, 5.674 Å; angles 90.00, 90.00, 90.00 degrees
Atoms (fractional coordinates):
Mn: 0.000 0.000 0.002
Mn: 0.500 0.500 0.246
Co: 0.000 0.000 0.503
Fe: 0.500 0.500 0.749

The value obtained for the total energy is -72.25 eV per cell. The calculation puts the density of states at the Fermi level at 0.5238 states/eV/atom. The value obtained for the magnetic moment is 6.9 μB per formula unit. As for the formation energy: -76 meV per atom. Its volume is 10.81 Å³/atom. As for the space group: No. 99.


7.
The following is a DFT calculation (meta-GGA SCAN) of a crystal of Y2TlIn2 relaxed with PBEsol.

Cell lengths 4.890, 4.890, 7.263 Å; angles 109.67, 109.67, 90.00 degrees
Atoms (fractional coordinates):
Y: 0.250 0.750 0.500
Y: 0.750 0.250 0.500
Tl: 0.000 0.000 0.000
In: 0.397 0.397 0.794
In: 0.603 0.603 0.206

The value obtained for the total energy is -195.07 eV per cell. The calculation puts the density of states at the Fermi level at 0.8136 states/eV/atom. The value obtained for the magnetic moment is 0.9 μB per formula unit. As for the formation energy: -50 meV per atom. Its volume is 30.54 Å³/atom. As for the space group: No. 139.


8.
The following is a DFT calculation (meta-GGA SCAN) of a crystal of SmZn2 relaxed with PBEsol.

Cell lengths 4.486, 5.610, 5.610 Å; angles 79.97, 66.43, 66.43 degrees
Atoms (fractional coordinates):
Zn: 0.165 0.892 0.778
Zn: 0.835 0.722 0.608
Zn: 0.835 0.108 0.222
Zn: 0.165 0.278 0.392
Sm: 0.458 0.292 0.792
Sm: 0.542 0.708 0.208

The value obtained for the total energy is -145.75 eV per cell. The calculation puts the density of states at the Fermi level at 0.8208 states/eV/atom. The value obtained for the magnetic moment is 0.0 μB per formula unit. As for the formation energy: -467 meV per atom. Its volume is 19.76 Å³/atom. As for the space group: No. 74.


Q: volume of number 7 (Y2TlIn2)?
A: 30.54 Å³/atom